1.
{
  "formula": "TbGe2Pt7Pb2",
  "functional": "GGA-PBE",
  "state": "optimized geometry",
  "cell": [[-3.559, 0.228, 1.832], [-0.904, -3.683, -1.301], [4.065, -7.836, 13.229]],
  "species": ["Tb", "Ge", "Ge", "Pt", "Pt", "Pt", "Pt", "Pt", "Pt", "Pt", "Pb", "Pb"],
  "frac_coords": [[0.000, 0.000, 0.000], [0.617, 0.617, 0.764], [0.383, 0.383, 0.236], [0.500, 0.500, 0.000], [0.304, 0.304, 0.391], [0.696, 0.696, 0.609], [0.931, 0.431, 0.140], [0.431, 0.931, 0.140], [0.569, 0.069, 0.860], [0.069, 0.569, 0.860], [0.789, 0.789, 0.422], [0.211, 0.211, 0.578]],
  "rho_g_cm3": 13.8,
  "ef_ev_per_atom": -0.54,
  "space_group": "C2/m (12)",
  "magnetic_moment_mub_per_atom": 0.00
}

=====

2.
{
  "formula": "TmGe2Pt7Pb2",
  "functional": "GGA-PBE",
  "state": "optimized geometry",
  "cell": [[-3.503, 1.910, 0.208], [-1.919, -3.500, -0.193], [-2.342, -1.841, 15.585]],
  "species": ["Tm", "Ge", "Ge", "Pt", "Pt", "Pt", "Pt", "Pt", "Pt", "Pt", "Pb", "Pb"],
  "frac_coords": [[0.000, 0.000, 0.000], [0.616, 0.616, 0.766], [0.384, 0.384, 0.234], [0.500, 0.500, 0.000], [0.304, 0.304, 0.390], [0.696, 0.696, 0.610], [0.932, 0.432, 0.138], [0.432, 0.932, 0.138], [0.568, 0.068, 0.862], [0.068, 0.568, 0.862], [0.789, 0.789, 0.422], [0.211, 0.211, 0.578]],
  "rho_g_cm3": 13.9,
  "ef_ev_per_atom": -0.56,
  "space_group": "C2/m (12)",
  "magnetic_moment_mub_per_atom": 0.00
}

=====

3.
{
  "formula": "ZnGe2Pt7Pb2",
  "functional": "GGA-PBE",
  "state": "optimized geometry",
  "cell": [[-2.929, -1.965, -1.744], [1.957, -3.373, 0.523], [-7.424, -4.627, 13.125]],
  "species": ["Zn", "Ge", "Ge", "Pt", "Pt", "Pt", "Pt", "Pt", "Pt", "Pt", "Pb", "Pb"],
  "frac_coords": [[0.000, 0.000, 0.000], [0.618, 0.618, 0.769], [0.382, 0.382, 0.231], [0.500, 0.500, 0.000], [0.306, 0.306, 0.387], [0.694, 0.694, 0.613], [0.934, 0.434, 0.130], [0.434, 0.934, 0.130], [0.566, 0.066, 0.870], [0.066, 0.566, 0.870], [0.788, 0.788, 0.422], [0.212, 0.212, 0.578]],
  "rho_g_cm3": 13.8,
  "ef_ev_per_atom": -0.29,
  "space_group": "C2/m (12)",
  "magnetic_moment_mub_per_atom": 0.00
}

=====

4.
{
  "formula": "Pu6GePb",
  "functional": "GGA-PBE",
  "state": "optimized geometry",
  "cell": [[-2.446, 3.600, -1.135], [-2.362, -0.404, 3.807], [6.121, 5.542, 4.385]],
  "species": ["Pu", "Pu", "Pu", "Pu", "Pu", "Pu", "Ge", "Pb"],
  "frac_coords": [[0.500, 0.500, 0.000], [0.500, 0.500, 0.500], [0.500, 0.000, 0.266], [0.500, 0.000, 0.734], [0.000, 0.500, 0.266], [0.000, 0.500, 0.734], [0.000, 0.000, 0.500], [0.000, 0.000, 0.000]],
  "rho_g_cm3": 15.3,
  "ef_ev_per_atom": -0.11,
  "space_group": "P4/mmm (123)",
  "magnetic_moment_mub_per_atom": 1.37
}

=====

5.
{
  "formula": "Pu2GePb2",
  "functional": "GGA-PBE",
  "state": "optimized geometry",
  "cell": [[-3.804, 1.494, -0.984], [-1.769, -3.488, 1.541], [2.268, 4.481, 7.013]],
  "species": ["Pu", "Pu", "Ge", "Pb", "Pb"],
  "frac_coords": [[0.415, 0.415, 0.830], [0.585, 0.585, 0.170], [0.000, 0.000, 0.000], [0.750, 0.250, 0.500], [0.250, 0.750, 0.500]],
  "rho_g_cm3": 11.3,
  "ef_ev_per_atom": 0.12,
  "space_group": "I4/mmm (139)",
  "magnetic_moment_mub_per_atom": 2.19
}

=====

6.
{
  "formula": "PuGePb",
  "functional": "GGA-PBE",
  "state": "optimized geometry",
  "cell": [[-1.468, -1.388, -2.673], [3.680, -3.609, -0.146], [-4.280, -0.793, 2.763]],
  "species": ["Pb", "Ge", "Pu"],
  "frac_coords": [[0.167, 0.333, 0.667], [0.166, 0.000, 0.000], [0.667, 0.667, 0.333]],
  "rho_g_cm3": 11.3,
  "ef_ev_per_atom": -0.04,
  "de_polymorph_mev_per_atom": 155,
  "space_group": "P3m1 (156)",
  "magnetic_moment_mub_per_atom": 1.95
}

=====

Copy entry 3 word for word.
{
  "formula": "ZnGe2Pt7Pb2",
  "functional": "GGA-PBE",
  "state": "optimized geometry",
  "cell": [[-2.929, -1.965, -1.744], [1.957, -3.373, 0.523], [-7.424, -4.627, 13.125]],
  "species": ["Zn", "Ge", "Ge", "Pt", "Pt", "Pt", "Pt", "Pt", "Pt", "Pt", "Pb", "Pb"],
  "frac_coords": [[0.000, 0.000, 0.000], [0.618, 0.618, 0.769], [0.382, 0.382, 0.231], [0.500, 0.500, 0.000], [0.306, 0.306, 0.387], [0.694, 0.694, 0.613], [0.934, 0.434, 0.130], [0.434, 0.934, 0.130], [0.566, 0.066, 0.870], [0.066, 0.566, 0.870], [0.788, 0.788, 0.422], [0.212, 0.212, 0.578]],
  "rho_g_cm3": 13.8,
  "ef_ev_per_atom": -0.29,
  "space_group": "C2/m (12)",
  "magnetic_moment_mub_per_atom": 0.00
}